(1)
Entry from Alexandria: an optimized crystal structure of NbP2SN (GGA-PBEsol).

Cell and atoms, written as POSCAR:
```
NbP2SN
1.0
-3.3485 -0.4622 -1.8670
-1.1174 -2.5834 2.6437
-1.7452 3.1580 2.3483
P Nb N S
2 1 1 1
Direct
0.5000 0.0000 0.0000
0.0000 0.5000 0.0000
0.5000 0.5000 0.5000
0.0000 0.0000 0.0000
0.0000 0.0000 0.5000
```

Calculated values
**Electronic total energy**: -6.63 eV per atom
**Calculated volume**: 64.2 Å³ per cell
**SG**: P4/mmm, No. 123
**Raw formation energy**: 0.44 eV/atom
**Total magnetic moment**: 0.00 μB/f.u.

=====

(2)
Entry from Alexandria: an optimized crystal structure of NbPSe2N (GGA-PBEsol).

Cell and atoms, written as POSCAR:
```
NbPSe2N
1.0
-3.1181 -1.7998 1.2919
2.9440 -3.4825 2.2541
0.1156 2.8318 4.2241
N Nb Se P
1 1 2 1
Direct
0.5000 0.0000 0.0000
0.0000 0.0000 0.0000
0.0000 0.5000 0.0000
0.0000 0.0000 0.5000
0.5000 0.5000 0.5000
```

Calculated values
**Electronic total energy**: -6.14 eV per atom
**Offset from the most stable computed form**: 9 meV/atom
**Calculated volume**: 99.0 Å³ per cell
**SG**: P4/mmm, No. 123
**Raw formation energy**: 0.42 eV/atom
**Total magnetic moment**: 0.00 μB/f.u.